1.
DFT (PBE-GGA) results for Mg2ZnAuN after structural relaxation.

## Properties
Total magnetization (μB/cell): 0.00

Unit cell a=5.0116 b=5.0116 c=4.7572 alpha=90.00 beta=90.00 gamma=90.00
Last column: nearest neighbours and their distance in Å.
Element x y z (fractional)
Mg 0.0000 0.5000 0.0000  2 Au 2.51
Mg 0.5000 0.0000 0.0000  2 Au 2.51
Zn 0.0000 0.0000 0.5000  2 Au 2.38
Au 0.0000 0.0000 0.0000  2 Zn 2.38, 4 Mg 2.51
N 0.5000 0.5000 0.5000  8 Mg 3.45, 4 Zn 3.54

=====

2.
DFT (PBE-GGA) results for Mg2ZnAuN after structural relaxation.

## Properties
Total magnetization (μB/cell): 0.00

Unit cell a=4.2360 b=4.2360 c=4.2132 alpha=90.00 beta=90.00 gamma=90.00
Last column: nearest neighbours and their distance in Å.
Element x y z (fractional)
Mg 0.0000 0.5000 0.0000  2 N 2.12
Mg 0.5000 0.0000 0.0000  2 N 2.12
Zn 0.0000 0.0000 0.5000  2 N 2.11
Au 0.5000 0.5000 0.5000  8 Mg 2.99, 4 Zn 3.00
N 0.0000 0.0000 0.0000  2 Zn 2.11, 4 Mg 2.12

=====

3.
DFT (PBE-GGA) results for Mg2ZrAuN after structural relaxation.

## Properties
Total magnetization (μB/cell): 0.00

Unit cell a=4.2793 b=4.2793 c=4.4569 alpha=90.00 beta=90.00 gamma=90.00
Last column: nearest neighbours and their distance in Å.
Element x y z (fractional)
Mg 0.0000 0.5000 0.0000  2 N 2.14
Mg 0.5000 0.0000 0.0000  2 N 2.14
Zr 0.0000 0.0000 0.5000  2 N 2.23
Au 0.5000 0.5000 0.5000  4 Zr 3.03, 8 Mg 3.09
N 0.0000 0.0000 0.0000  4 Mg 2.14, 2 Zr 2.23

=====

| no. | ΔE to the lowest computed polymorph (meV/atom) | D(E_F) (states/eV/cell) | formation energy (no corrections) (kJ per mole of atoms) |
| --- | --- | --- | --- |
| 1 | 1352 | 2.58 | 93.6 |
| 2 | 0 | 0.87 | -36.9 |
| 3 | 0 | 4.26 | -64.0 |